(1)
A relaxed structure of Na2CaIrO6. Source: Alexandria, functional GGA-PBE.

The structure belongs to space group P2_1/c (No. 14); the cell edges are 5.629, 5.796 and 9.802 Å and the angles 90.00°, 124.60° and 90.00°. The asymmetric unit holds Na at (0.240, 0.048, 0.252), Ca at (0.500, 0.000, 0.000), Ir at (0.000, 0.000, 0.500), O at (0.112, 0.229, 0.942), O at (0.227, 0.678, 0.953) and O at (0.320, 0.035, 0.723).

Its density of states at the Fermi level is 5.171 states/eV/f.u. The calculation puts the total energy at -5.6933 eV/atom. The crystal system is monoclinic.

---

(2)
A relaxed structure of NaCaPrIr. Source: Alexandria, functional GGA-PBE.

The structure belongs to space group F-43m (No. 216); the cell edges are 7.308, 7.308 and 7.308 Å and the angles 90.00°, 90.00° and 90.00°. The asymmetric unit holds Na at (0.000, 0.000, 0.000), Ca at (0.250, 0.250, 0.250), Pr at (0.250, 0.250, 0.750) and Ir at (0.000, 0.000, 0.500).

Its density of states at the Fermi level is 2.942 states/eV/f.u. The calculation puts the total energy at -4.3861 eV/atom. The crystal system is cubic. The energy relative to the elements is -0.146 eV/atom.

---

(3)
A relaxed structure of RbNaCa2Ir. Source: Alexandria, functional GGA-PBE.

The structure belongs to space group P4/mmm (No. 123); the cell edges are 5.563, 5.563 and 6.056 Å and the angles 90.00°, 90.00° and 90.00°. The asymmetric unit holds Rb at (0.000, 0.000, 0.000), Na at (0.500, 0.500, 0.000), Ca at (0.000, 0.500, 0.500) and Ir at (0.500, 0.500, 0.500).

Its density of states at the Fermi level is 2.713 states/eV/f.u. The calculation puts the total energy at -2.9678 eV/atom. The crystal system is tetragonal. The energy relative to the elements is 0.062 eV/atom.

---

(4)
A relaxed structure of RbNaCa2Ir. Source: Alexandria, functional GGA-PBE.

The structure belongs to space group P4/mmm (No. 123); the cell edges are 5.736, 5.736 and 4.914 Å and the angles 90.00°, 90.00° and 90.00°. The asymmetric unit holds Rb at (0.000, 0.000, 0.000), Na at (0.000, 0.000, 0.500), Ca at (0.000, 0.500, 0.000) and Ir at (0.500, 0.500, 0.500).

Its density of states at the Fermi level is 6.552 states/eV/f.u. The calculation puts the total energy at -1.4440 eV/atom. The crystal system is tetragonal. The energy relative to the elements is 1.586 eV/atom.

---

(5)
A relaxed structure of NaCa2ScIr. Source: Alexandria, functional GGA-PBE.

The structure belongs to space group P4/mmm (No. 123); the cell edges are 5.671, 5.671 and 5.027 Å and the angles 90.00°, 90.00° and 90.00°. The asymmetric unit holds Na at (0.000, 0.000, 0.000), Ca at (0.000, 0.500, 0.500), Sc at (0.500, 0.500, 0.000) and Ir at (0.500, 0.500, 0.500).

Its density of states at the Fermi level is 3.060 states/eV/f.u. The calculation puts the total energy at -4.3069 eV/atom. The crystal system is tetragonal. The energy relative to the elements is -0.204 eV/atom.

---

(6)
A relaxed structure of NaCaSmIr. Source: Alexandria, functional GGA-PBE.

The structure belongs to space group F-43m (No. 216); the cell edges are 7.230, 7.230 and 7.230 Å and the angles 90.00°, 90.00° and 90.00°. The asymmetric unit holds Na at (0.000, 0.000, 0.000), Ca at (0.250, 0.250, 0.750), Sm at (0.250, 0.250, 0.250) and Ir at (0.000, 0.000, 0.500).

Its density of states at the Fermi level is 3.199 states/eV/f.u. The calculation puts the total energy at -4.3912 eV/atom. The crystal system is cubic. The energy relative to the elements is -0.166 eV/atom.

---

(7)
A relaxed structure of Na2CaSnIr. Source: Alexandria, functional GGA-PBE.

The structure belongs to space group P4/mmm (No. 123); the cell edges are 5.403, 5.403 and 5.322 Å and the angles 90.00°, 90.00° and 90.00°. The asymmetric unit holds Na at (0.000, 0.500, 0.000), Ca at (0.000, 0.000, 0.500), Sn at (0.500, 0.500, 0.500) and Ir at (0.000, 0.000, 0.000).

Its density of states at the Fermi level is 2.804 states/eV/f.u. The calculation puts the total energy at -3.0895 eV/atom. The crystal system is tetragonal. The energy relative to the elements is 0.411 eV/atom.

---

(8)
A relaxed structure of NaCaSnIr. Source: Alexandria, functional GGA-PBE.

The structure belongs to space group F-43m (No. 216); the cell edges are 6.913, 6.913 and 6.913 Å and the angles 90.00°, 90.00° and 90.00°. The asymmetric unit holds Na at (0.000, 0.000, 0.000), Ca at (0.250, 0.250, 0.250), Sn at (0.250, 0.250, 0.750) and Ir at (0.000, 0.000, 0.500).

Its density of states at the Fermi level is 3.127 states/eV/f.u. The calculation puts the total energy at -4.2626 eV/atom. The crystal system is cubic. The energy relative to the elements is -0.216 eV/atom.

---

What is the density of states at the Fermi level in the fifth record?
3.060 states/eV/f.u.

---

What is the density of states at the Fermi level in the third record?
2.713 states/eV/f.u.

---

What did the seventh record say?
A relaxed structure of Na2CaSnIr. Source: Alexandria, functional GGA-PBE.

The structure belongs to space group P4/mmm (No. 123); the cell edges are 5.403, 5.403 and 5.322 Å and the angles 90.00°, 90.00° and 90.00°. The asymmetric unit holds Na at (0.000, 0.500, 0.000), Ca at (0.000, 0.000, 0.500), Sn at (0.500, 0.500, 0.500) and Ir at (0.000, 0.000, 0.000).

Its density of states at the Fermi level is 2.804 states/eV/f.u. The calculation puts the total energy at -3.0895 eV/atom. The crystal system is tetragonal. The energy relative to the elements is 0.411 eV/atom.